1.
## Rb2Gd4Cu4S9 (GGA-PBE)

Data for Rb2Gd4Cu4S9 after structural relaxation.

abc: 7.2841 7.2841 16.1581
angles: 108.59 108.59 31.84
Element x y z (fractional)
Rb: 0.0266 0.0266 0.2705
Rb: 0.9734 0.9734 0.7295
Gd: 0.2319 0.2319 0.1035
Gd: 0.3458 0.3458 0.4465
Gd: 0.6542 0.6542 0.5535
Gd: 0.7681 0.7681 0.8965
Cu: 0.2489 0.2489 0.7280
Cu: 0.4315 0.4315 0.0401
Cu: 0.5685 0.5685 0.9599
Cu: 0.7511 0.7511 0.2720
S: 0.0000 0.0000 0.5000
S: 0.1376 0.1376 0.9256
S: 0.2970 0.2970 0.6014
S: 0.3404 0.3404 0.2772
S: 0.3924 0.3924 0.8766
S: 0.6076 0.6076 0.1234
S: 0.6596 0.6596 0.7228
S: 0.7030 0.7030 0.3986
S: 0.8624 0.8624 0.0744

space-group type: C2/m
formation energy (no corrections): -1421 meV per atom
spin magnetization: 0.1 Bohr magnetons per cell

***

2.
## GdThCuRe (GGA-PBE)

Data for GdThCuRe after structural relaxation.

abc: 4.9886 4.9886 4.9886
angles: 60.00 60.00 60.00
Element x y z (fractional)
Gd: 0.0000 0.0000 0.0000
Th: 0.5000 0.5000 0.5000
Cu: 0.7500 0.7500 0.7500
Re: 0.2500 0.2500 0.2500

space-group type: F-43m
energy of formation from the pure elements: 2 meV/atom
spin magnetization: 6.9 Bohr magnetons per cell
DOS(E_F): 2.20 states/eV/f.u.

***

3.
## GdCu4Rh (GGA-PBE)

Data for GdCu4Rh after structural relaxation.

abc: 5.0025 5.0025 5.0025
angles: 60.00 60.00 60.00
Element x y z (fractional)
Gd: 0.0000 0.0000 0.0000
Cu: 0.1285 0.6238 0.6238
Cu: 0.6238 0.1285 0.6238
Cu: 0.6238 0.6238 0.1285
Cu: 0.6238 0.6238 0.6238
Rh: 0.2500 0.2500 0.2500

space-group type: F-43m
energy of formation from the pure elements: -253 meV/atom
spin magnetization: 7.1 Bohr magnetons per cell
DOS(E_F): 2.47 states/eV/f.u.

***

4.
## GdCuRh2 (GGA-PBE)

Data for GdCuRh2 after structural relaxation.

abc: 4.1273 4.1273 3.8989
angles: 90.00 90.00 90.00
Element x y z (fractional)
Gd: 0.0000 0.0000 0.0000
Cu: 0.5000 0.5000 0.0000
Rh: 0.0000 0.5000 0.5000
Rh: 0.5000 0.0000 0.5000

space-group type: P4/mmm
energy of formation from the pure elements: -411 meV/atom
spin magnetization: 6.9 Bohr magnetons per cell
DOS(E_F): 5.25 states/eV/f.u.
energy above the lowest structure with this stoichiometry: 0.0 meV/atom

***

5.
## GdCuRh2 (GGA-PBE)

Data for GdCuRh2 after structural relaxation.

abc: 4.5523 4.5523 4.5523
angles: 60.00 60.00 60.00
Element x y z (fractional)
Gd: 0.0000 0.0000 0.0000
Cu: 0.5000 0.5000 0.5000
Rh: 0.2500 0.2500 0.2500
Rh: 0.7500 0.7500 0.7500

space-group type: Fm-3m
energy of formation from the pure elements: -359 meV/atom
spin magnetization: 7.0 Bohr magnetons per cell
DOS(E_F): 1.58 states/eV/f.u.
energy above the lowest structure with this stoichiometry: 51.3 meV/atom

***

6.
## Gd2CuRh (GGA-PBE)

Data for Gd2CuRh after structural relaxation.

abc: 4.9027 4.9027 3.5244
angles: 90.00 90.00 90.00
Element x y z (fractional)
Gd: 0.0000 0.5000 0.0000
Gd: 0.5000 0.0000 0.0000
Cu: 0.0000 0.0000 0.5000
Rh: 0.5000 0.5000 0.5000

space-group type: P4/mmm
energy of formation from the pure elements: -506 meV/atom
spin magnetization: 14.3 Bohr magnetons per cell
DOS(E_F): 2.76 states/eV/f.u.

***

7.
## GdScCuRh (GGA-PBE)

Data for GdScCuRh after structural relaxation.

abc: 4.7760 4.7760 4.7760
angles: 60.00 60.00 60.00
Element x y z (fractional)
Gd: 0.0000 0.0000 0.0000
Sc: 0.5000 0.5000 0.5000
Cu: 0.7500 0.7500 0.7500
Rh: 0.2500 0.2500 0.2500

space-group type: F-43m
energy of formation from the pure elements: -530 meV/atom
spin magnetization: 7.2 Bohr magnetons per cell
DOS(E_F): 3.67 states/eV/f.u.

***

8.
## SmGdCuRh (GGA-PBE)

Data for SmGdCuRh after structural relaxation.

abc: 4.9584 4.9584 4.9584
angles: 60.00 60.00 60.00
Element x y z (fractional)
Sm: 0.0000 0.0000 0.0000
Gd: 0.5000 0.5000 0.5000
Cu: 0.7500 0.7500 0.7500
Rh: 0.2500 0.2500 0.2500

space-group type: F-43m
energy of formation from the pure elements: -486 meV/atom
spin magnetization: 7.2 Bohr magnetons per cell
DOS(E_F): 3.61 states/eV/f.u.

***

9.
## GdTiCuRh (GGA-PBE)

Data for GdTiCuRh after structural relaxation.

abc: 4.6742 4.6742 4.6742
angles: 60.00 60.00 60.00
Element x y z (fractional)
Gd: 0.0000 0.0000 0.0000
Ti: 0.5000 0.5000 0.5000
Cu: 0.2500 0.2500 0.2500
Rh: 0.7500 0.7500 0.7500

space-group type: F-43m
energy of formation from the pure elements: -296 meV/atom
spin magnetization: 7.5 Bohr magnetons per cell
DOS(E_F): 3.85 states/eV/f.u.

***

10.
## GdTlCuRh (GGA-PBE)

Data for GdTlCuRh after structural relaxation.

abc: 4.7980 4.7980 4.7980
angles: 60.00 60.00 60.00
Element x y z (fractional)
Gd: 0.0000 0.0000 0.0000
Tl: 0.5000 0.5000 0.5000
Cu: 0.2500 0.2500 0.2500
Rh: 0.7500 0.7500 0.7500

space-group type: F-43m
energy of formation from the pure elements: -258 meV/atom
spin magnetization: 7.3 Bohr magnetons per cell
DOS(E_F): 3.05 states/eV/f.u.

***

11.
## GdTmCuRh (GGA-PBE)

Data for GdTmCuRh after structural relaxation.

abc: 4.8756 4.8756 4.8756
angles: 60.00 60.00 60.00
Element x y z (fractional)
Gd: 0.0000 0.0000 0.0000
Tm: 0.5000 0.5000 0.5000
Cu: 0.7500 0.7500 0.7500
Rh: 0.2500 0.2500 0.2500

space-group type: F-43m
energy of formation from the pure elements: -560 meV/atom
spin magnetization: 7.2 Bohr magnetons per cell
DOS(E_F): 3.58 states/eV/f.u.

***

12.
## GdZnCuRh (GGA-PBE)

Data for GdZnCuRh after structural relaxation.

abc: 4.6285 4.6285 4.6285
angles: 60.00 60.00 60.00
Element x y z (fractional)
Gd: 0.0000 0.0000 0.0000
Zn: 0.5000 0.5000 0.5000
Cu: 0.7500 0.7500 0.7500
Rh: 0.2500 0.2500 0.2500

space-group type: F-43m
energy of formation from the pure elements: -344 meV/atom
spin magnetization: 7.1 Bohr magnetons per cell
DOS(E_F): 2.35 states/eV/f.u.

***

> Which of these has the highest spin magnetization?

Gd2CuRh

***

> spin magnetization of number 9 (GdTiCuRh)?

7.5 Bohr magnetons per cell